Crystalline Os3C at its relaxed geometry. Source: Alexandria via LeMat-Bulk, functional GGA-PBEsol.

Properties
VASP energy, eV/atom: -11.08
DOS at the Fermi energy, states/eV/atom: 0.4828
M_tot, μB/atom: 0.000
Symmetry: Pmm2, No. 25
Distance to the lowest polymorph of the same formula, kcal/mol of atoms: 4.34

a = 2.7372 Å, b = 2.7941 Å, c = 6.5212 Å
α = 90.00°, β = 90.00°, γ = 90.00°
Closest atoms and distances in Å follow each position.
Fractional positions:
Os  0.0000  0.0000  0.0000  2 C 2.18
Os  0.0000  0.5000  0.3827  4 C 2.11
Os  0.5000  0.5000  0.7362  10 Os 2.60-2.79
C  0.5000  0.0000  0.2602  6 Os 2.11-2.18